## Sr8TlGa2 (GGA-PBE)

Data for a relaxed Sr8TlGa2 crystal.

Geometry as POSCAR:
```
Sr8TlGa2
1.0
-0.949 0.371 5.646
3.801 -7.020 1.100
7.084 7.368 -2.208
Sr Ga Tl
8 2 1
direct
0.402 0.542 0.804
0.967 0.213 0.934
0.598 0.458 0.196
0.327 0.035 0.654
0.033 0.787 0.066
0.801 0.687 0.602
0.673 0.965 0.346
0.199 0.313 0.398
0.182 0.697 0.364
0.818 0.303 0.636
0.500 0.000 0.000
```

DFT formation energy ... -0.236 eV/atom
Total moment ... 0.00 μB/cell
Calculated total energy ... -2.2245 eV per atom
Crystal system ... monoclinic
N(E_F) ... 6.14 states/eV per cell